# PBE-GGA ZrAg2Ir, optimized geometry
data_ZrAg2Ir
_chemical_formula_sum 'Zr1 Ag2 Ir1'
_cell_length_a 4.661
_cell_length_b 4.661
_cell_length_c 4.661
_cell_angle_alpha 60.00
_cell_angle_beta 60.00
_cell_angle_gamma 60.00
_space_group_name_H-M_alt 'P 1'
_space_group_IT_number 1
_space_group_name_Hall 'P 1'
loop_
_atom_site_label
_atom_site_type_symbol
_atom_site_fract_x
_atom_site_fract_y
_atom_site_fract_z
Ag1 Ag 0.250 0.250 0.250
Ag2 Ag 0.000 0.000 0.000
Ir1 Ir 0.500 0.500 0.500
Zr1 Zr 0.750 0.750 0.750
# DOS at the Fermi energy = 1.8 states/eV/cell
# E = -23.64 eV per formula unit
# ΔH_f (0 K) = -0.1326 eV per atom
# energy above the most stable polymorph in this dataset = 0.120 eV/atom
# volume = 72 Å³/cell

***

# PBE-GGA ZrAgIr2, optimized geometry
data_ZrAgIr2
_chemical_formula_sum 'Zr1 Ag1 Ir2'
_cell_length_a 2.959
_cell_length_b 4.961
_cell_length_c 5.627
_cell_angle_alpha 53.92
_cell_angle_beta 90.00
_cell_angle_gamma 90.00
_space_group_name_H-M_alt 'P 1'
_space_group_IT_number 1
_space_group_name_Hall 'P 1'
loop_
_atom_site_label
_atom_site_type_symbol
_atom_site_fract_x
_atom_site_fract_y
_atom_site_fract_z
Ir1 Ir 0.000 0.000 0.000
Ir2 Ir 0.500 0.500 0.000
Zr1 Zr 0.500 0.500 0.500
Ag1 Ag 0.000 0.000 0.500
# DOS at the Fermi energy = 3.3 states/eV/cell
# E = -29.63 eV per formula unit
# ΔH_f (0 K) = -0.1274 eV per atom
# energy above the most stable polymorph in this dataset = 0.246 eV/atom
# volume = 67 Å³/cell

***

# PBE-GGA ZrAg2Ir, optimized geometry
data_ZrAg2Ir
_chemical_formula_sum 'Zr1 Ag2 Ir1'
_cell_length_a 4.651
_cell_length_b 4.651
_cell_length_c 4.651
_cell_angle_alpha 60.00
_cell_angle_beta 60.00
_cell_angle_gamma 60.00
_space_group_name_H-M_alt 'P 1'
_space_group_IT_number 1
_space_group_name_Hall 'P 1'
loop_
_atom_site_label
_atom_site_type_symbol
_atom_site_fract_x
_atom_site_fract_y
_atom_site_fract_z
Ag1 Ag 0.750 0.750 0.750
Ag2 Ag 0.250 0.250 0.250
Ir1 Ir 0.500 0.500 0.500
Zr1 Zr 0.000 0.000 0.000
# DOS at the Fermi energy = 6.8 states/eV/cell
# E = -22.62 eV per formula unit
# ΔH_f (0 K) = 0.1218 eV per atom
# energy above the most stable polymorph in this dataset = 0.375 eV/atom
# volume = 71 Å³/cell

***

# PBE-GGA ZrAgIr2, optimized geometry
data_ZrAgIr2
_chemical_formula_sum 'Zr1 Ag1 Ir2'
_cell_length_a 3.139
_cell_length_b 3.636
_cell_length_c 5.940
_cell_angle_alpha 90.00
_cell_angle_beta 90.00
_cell_angle_gamma 90.00
_space_group_name_H-M_alt 'P 1'
_space_group_IT_number 1
_space_group_name_Hall 'P 1'
loop_
_atom_site_label
_atom_site_type_symbol
_atom_site_fract_x
_atom_site_fract_y
_atom_site_fract_z
Ag1 Ag 0.500 0.500 0.750
Ir1 Ir 0.000 0.000 0.501
Ir2 Ir 0.000 0.000 0.999
Zr1 Zr 0.500 0.500 0.250
# DOS at the Fermi energy = 3.7 states/eV/cell
# E = -30.15 eV per formula unit
# ΔH_f (0 K) = -0.2564 eV per atom
# energy above the most stable polymorph in this dataset = 0.117 eV/atom
# volume = 68 Å³/cell

***

# PBE-GGA ZrAgIr2, optimized geometry
data_ZrAgIr2
_chemical_formula_sum 'Zr1 Ag1 Ir2'
_cell_length_a 4.587
_cell_length_b 4.587
_cell_length_c 4.587
_cell_angle_alpha 60.00
_cell_angle_beta 60.00
_cell_angle_gamma 60.00
_space_group_name_H-M_alt 'P 1'
_space_group_IT_number 1
_space_group_name_Hall 'P 1'
loop_
_atom_site_label
_atom_site_type_symbol
_atom_site_fract_x
_atom_site_fract_y
_atom_site_fract_z
Ir1 Ir 0.000 0.000 0.000
Ir2 Ir 0.750 0.750 0.750
Ag1 Ag 0.500 0.500 0.500
Zr1 Zr 0.250 0.250 0.250
# DOS at the Fermi energy = 6.7 states/eV/cell
# E = -29.17 eV per formula unit
# ΔH_f (0 K) = -0.0116 eV per atom
# energy above the most stable polymorph in this dataset = 0.362 eV/atom
# volume = 68 Å³/cell

***

# PBE-GGA ZrAgIr2, optimized geometry
data_ZrAgIr2
_chemical_formula_sum 'Zr1 Ag1 Ir2'
_cell_length_a 3.915
_cell_length_b 4.111
_cell_length_c 4.111
_cell_angle_alpha 90.00
_cell_angle_beta 90.00
_cell_angle_gamma 90.00
_space_group_name_H-M_alt 'P 1'
_space_group_IT_number 1
_space_group_name_Hall 'P 1'
loop_
_atom_site_label
_atom_site_type_symbol
_atom_site_fract_x
_atom_site_fract_y
_atom_site_fract_z
Ir1 Ir 0.000 0.500 0.500
Ir2 Ir 0.000 0.000 0.000
Ag1 Ag 0.500 0.000 0.500
Zr1 Zr 0.500 0.500 0.000
# DOS at the Fermi energy = 3.8 states/eV/cell
# E = -30.62 eV per formula unit
# ΔH_f (0 K) = -0.3735 eV per atom
# energy above the most stable polymorph in this dataset = 0.000 eV/atom
# volume = 66 Å³/cell